Here is a geometry-optimized TbMo2 structure from Alexandria via LeMat-Bulk. Energies are from PBE-GGA.

Unit cell a=3.2820 b=3.2820 c=5.9434 alpha=106.03 beta=106.03 gamma=90.00
Sites, in units of the cell vectors:
Mo  0.6908  0.6908  0.3815
Mo  0.3092  0.3092  0.6185
Tb  0.0000  0.0000  0.0000

## Properties
D(E_F): 1.1833 states/eV per atom

***

Here is a geometry-optimized Sr2YCr structure from Alexandria via LeMat-Bulk. Energies are from PBE-GGA.

Unit cell a=5.7923 b=5.7923 c=5.7923 alpha=120.05 beta=120.05 gamma=89.91
Each line ends with the local moment (μB).
Sites, in units of the cell vectors:
Cr  0.7500  0.2500  0.5000  3.82
Sr  0.2500  0.7500  0.5000  -0.04
Sr  0.0000  0.0000  0.0000  0.00
Y  0.5000  0.5000  0.0000  -0.06

## Properties
D(E_F): 1.1023 states/eV per atom
energy above the lowest structure with this stoichiometry: 0.1967 eV per atom

***

For the records above, the corresponding energy values read -8.58, -4.32 eV per atom.